Entry 1:
## CaSiTc3 (PBE)

Data for a geometry-optimized CaSiTc3 structure.

CIF file:
```
data_CaSiTc3
_chemical_formula_sum 'Ca1 Si1 Tc3'
_cell_length_a 4.5462
_cell_length_b 4.5462
_cell_length_c 4.5462
_cell_angle_alpha 90.00
_cell_angle_beta 90.00
_cell_angle_gamma 90.00
_symmetry_space_group_name_H-M 'P m -3 m'
_symmetry_Int_Tables_number 221
_symmetry_space_group_name_Hall '-P 4 2 3'
loop_
_atom_site_label
_atom_site_type_symbol
_atom_site_fract_x
_atom_site_fract_y
_atom_site_fract_z
Ca1 Ca 0.0000 0.0000 0.0000
Si1 Si 0.5000 0.5000 0.5000
Tc1 Tc 0.0000 0.5000 0.5000
```

Properties
The value obtained for the total energy is -7.08 eV per atom. The calculation puts the density of states at the Fermi level at 6.6 states/eV/cell. Its polymorph energy (0 for the lowest one) is 0.0000 eV/atom.

=====

Entry 2:
## CaSiTc2 (PBE)

Data for a geometry-optimized CaSiTc2 structure.

CIF file:
```
data_CaSiTc2
_chemical_formula_sum 'Ca2 Si2 Tc4'
_cell_length_a 2.9267
_cell_length_b 4.9071
_cell_length_c 9.4366
_cell_angle_alpha 90.00
_cell_angle_beta 90.00
_cell_angle_gamma 90.00
_symmetry_space_group_name_H-M 'I m m m'
_symmetry_Int_Tables_number 71
_symmetry_space_group_name_Hall '-I 2 2'
loop_
_atom_site_label
_atom_site_type_symbol
_atom_site_fract_x
_atom_site_fract_y
_atom_site_fract_z
Ca1 Ca 0.0000 0.0000 0.0000
Si1 Si 0.0000 0.0000 0.5000
Tc1 Tc 0.0000 0.5000 0.2082
```

Properties
The value obtained for the total energy is -6.83 eV per atom. The calculation puts the density of states at the Fermi level at 6.4 states/eV/cell.

=====

Entry 3:
## CaSiTc4 (PBE)

Data for a geometry-optimized CaSiTc4 structure.

CIF file:
```
data_CaSiTc4
_chemical_formula_sum 'Ca4 Si4 Tc16'
_cell_length_a 7.3856
_cell_length_b 7.3856
_cell_length_c 7.3856
_cell_angle_alpha 90.00
_cell_angle_beta 90.00
_cell_angle_gamma 90.00
_symmetry_space_group_name_H-M 'F -4 3 m'
_symmetry_Int_Tables_number 216
_symmetry_space_group_name_Hall 'F -4 2 3'
loop_
_atom_site_label
_atom_site_type_symbol
_atom_site_fract_x
_atom_site_fract_y
_atom_site_fract_z
Ca1 Ca 0.0000 0.0000 0.0000
Si1 Si 0.2500 0.2500 0.7500
Tc1 Tc 0.1237 0.1237 0.3763
```

Properties
The value obtained for the total energy is -7.79 eV per atom. The calculation puts the density of states at the Fermi level at 20.4 states/eV/cell.

=====

Entry 4:
## Ca2SiTc (PBE)

Data for a geometry-optimized Ca2SiTc structure.

CIF file:
```
data_Ca2SiTc
_chemical_formula_sum 'Ca2 Si1 Tc1'
_cell_length_a 5.0575
_cell_length_b 5.0575
_cell_length_c 3.4233
_cell_angle_alpha 90.00
_cell_angle_beta 90.00
_cell_angle_gamma 90.00
_symmetry_space_group_name_H-M 'P 4/m m m'
_symmetry_Int_Tables_number 123
_symmetry_space_group_name_Hall '-P 4 2'
loop_
_atom_site_label
_atom_site_type_symbol
_atom_site_fract_x
_atom_site_fract_y
_atom_site_fract_z
Ca1 Ca 0.0000 0.5000 0.0000
Si1 Si 0.0000 0.0000 0.5000
Tc1 Tc 0.5000 0.5000 0.5000
```

Properties
The value obtained for the total energy is -4.55 eV per atom. The calculation puts the density of states at the Fermi level at 4.7 states/eV/cell.

=====

Entry 5:
## CaSi2Tc2 (PBE)

Data for a geometry-optimized CaSi2Tc2 structure.

CIF file:
```
data_CaSi2Tc2
_chemical_formula_sum 'Ca2 Si4 Tc4'
_cell_length_a 7.3158
_cell_length_b 7.3158
_cell_length_c 2.9424
_cell_angle_alpha 90.00
_cell_angle_beta 90.00
_cell_angle_gamma 90.00
_symmetry_space_group_name_H-M 'P 4/m b m'
_symmetry_Int_Tables_number 127
_symmetry_space_group_name_Hall '-P 4 2ab'
loop_
_atom_site_label
_atom_site_type_symbol
_atom_site_fract_x
_atom_site_fract_y
_atom_site_fract_z
Ca1 Ca 0.0000 0.0000 0.0000
Si1 Si 0.1367 0.3633 0.0000
Tc1 Tc 0.1465 0.6465 0.5000
```

Properties
The value obtained for the total energy is -7.02 eV per atom. The calculation puts the density of states at the Fermi level at 3.2 states/eV/cell. Its polymorph energy (0 for the lowest one) is 0.1433 eV/atom.

=====

Entry 6:
## CaSiTc2 (PBE)

Data for a geometry-optimized CaSiTc2 structure.

CIF file:
```
data_CaSiTc2
_chemical_formula_sum 'Ca2 Si2 Tc4'
_cell_length_a 3.2935
_cell_length_b 4.7662
_cell_length_c 8.5168
_cell_angle_alpha 90.00
_cell_angle_beta 90.00
_cell_angle_gamma 90.00
_symmetry_space_group_name_H-M 'C m m m'
_symmetry_Int_Tables_number 65
_symmetry_space_group_name_Hall '-C 2 2'
loop_
_atom_site_label
_atom_site_type_symbol
_atom_site_fract_x
_atom_site_fract_y
_atom_site_fract_z
Ca1 Ca 0.0000 0.0000 0.0000
Si1 Si 0.0000 0.0000 0.5000
Tc1 Tc 0.0000 0.5000 0.2946
```

Properties
The value obtained for the total energy is -6.78 eV per atom. The calculation puts the density of states at the Fermi level at 8.4 states/eV/cell.

=====

Entry 7:
## Ca2SiTc (PBE)

Data for a geometry-optimized Ca2SiTc structure.

CIF file:
```
data_Ca2SiTc
_chemical_formula_sum 'Ca2 Si1 Tc1'
_cell_length_a 2.9348
_cell_length_b 4.4365
_cell_length_c 6.3017
_cell_angle_alpha 90.00
_cell_angle_beta 90.00
_cell_angle_gamma 90.00
_symmetry_space_group_name_H-M 'P m m m'
_symmetry_Int_Tables_number 47
_symmetry_space_group_name_Hall '-P 2 2'
loop_
_atom_site_label
_atom_site_type_symbol
_atom_site_fract_x
_atom_site_fract_y
_atom_site_fract_z
Ca1 Ca 0.0000 0.0000 0.2456
Si1 Si 0.5000 0.5000 0.0000
Tc1 Tc 0.5000 0.5000 0.5000
```

Properties
The value obtained for the total energy is -4.64 eV per atom. The calculation puts the density of states at the Fermi level at 2.3 states/eV/cell.

=====

Entry 8:
## CaSiTc2 (PBE)

Data for a geometry-optimized CaSiTc2 structure.

CIF file:
```
data_CaSiTc2
_chemical_formula_sum 'Ca2 Si2 Tc4'
_cell_length_a 5.7567
_cell_length_b 8.5807
_cell_length_c 2.6374
_cell_angle_alpha 90.00
_cell_angle_beta 90.00
_cell_angle_gamma 90.00
_symmetry_space_group_name_H-M 'C m m m'
_symmetry_Int_Tables_number 65
_symmetry_space_group_name_Hall '-C 2 2'
loop_
_atom_site_label
_atom_site_type_symbol
_atom_site_fract_x
_atom_site_fract_y
_atom_site_fract_z
Ca1 Ca 0.0000 0.0000 0.0000
Si1 Si 0.0000 0.5000 0.0000
Tc1 Tc 0.2500 0.2500 0.5000
```

Properties
The value obtained for the total energy is -6.50 eV per atom. The calculation puts the density of states at the Fermi level at 9.6 states/eV/cell.

=====

no.,total magnetic moment (μB per formula unit)
1,0.95
2,0.00
3,0.00
4,1.53
5,0.00
6,0.00
7,0.00
8,0.00